(1)
First-principles (PBE) data for an optimized crystal structure of La2PrNd4Tm, as listed in Alexandria via LeMat-Bulk.

a b c (Å): 5.1837 5.1983 10.4609
angles (deg): 90.00 90.04 90.00
Atoms (fractional coordinates):
La: 0.0000 0.0000 0.0000
La: 0.5000 0.5000 0.5000
Pr: 0.0000 0.0000 0.5000
Nd: 0.0006 0.5000 0.7534
Nd: 0.4999 0.0000 0.2472
Nd: 0.5001 0.0000 0.7528
Nd: 0.9994 0.5000 0.2466
Tm: 0.5000 0.5000 0.0000

For the raw total energy, the calculation gives -4.752 eV per atom. Its space group is P2/m.



(2)
First-principles (PBE) data for an optimized crystal structure of La5PrNdTm2, as listed in Alexandria via LeMat-Bulk.

a b c (Å): 10.8313 10.8313 10.6888
angles (deg): 90.00 90.00 148.96
Atoms (fractional coordinates):
La: 0.0159 0.9841 0.5000
La: 0.2793 0.7207 0.2027
La: 0.2946 0.7054 0.8135
La: 0.3874 0.6126 0.4929
La: 0.4784 0.5216 0.7750
La: 0.5216 0.4784 0.2750
La: 0.6126 0.3874 0.9929
La: 0.7054 0.2946 0.3135
La: 0.7207 0.2793 0.7027
La: 0.9841 0.0159 0.0000
Pr: 0.4115 0.5885 0.0693
Pr: 0.5885 0.4115 0.5693
Nd: 0.1970 0.8030 0.5048
Nd: 0.8030 0.1970 0.0048
Tm: 0.1143 0.8857 0.7831
Tm: 0.1171 0.8829 0.1993
Tm: 0.8829 0.1171 0.6993
Tm: 0.8857 0.1143 0.2831

For the raw total energy, the calculation gives -4.653 eV per atom. Its space group is Cmc2_1.



(3)
First-principles (PBE) data for an optimized crystal structure of LaPr4Nd2Tm, as listed in Alexandria via LeMat-Bulk.

a b c (Å): 6.3488 3.6984 12.2316
angles (deg): 90.00 100.23 90.00
Atoms (fractional coordinates):
La: 0.0000 0.0000 0.0000
Pr: 0.2508 0.0000 0.7533
Pr: 0.2521 0.5000 0.2499
Pr: 0.7479 0.5000 0.7501
Pr: 0.7492 0.0000 0.2467
Nd: 0.0000 0.5000 0.5000
Nd: 0.5000 0.0000 0.5000
Tm: 0.5000 0.5000 0.0000

For the raw total energy, the calculation gives -4.740 eV per atom. Its space group is P2/m.